[1]
## AgTe2OsI (PBEsol)

Data for a relaxed AgTe2OsI crystal.

The calculation puts the formation energy without anion corrections at 0.815 eV/atom. As for the space group: P4/mmm. The calculation puts the density of states at the Fermi level at 4.60 states/eV/cell. For the raw total energy, the calculation gives -20.3 eV per cell. The relative energy among the computed polymorphs comes out at 0.000 eV per atom.

Geometry as POSCAR:
```
AgTe2OsI
1.0
5.055 0.000 0.000
0.000 5.055 0.000
0.000 0.000 5.708
I Te Os Ag
1 2 1 1
Direct
0.000 0.000 0.500
0.000 0.500 0.000
0.500 0.000 0.000
0.000 0.000 0.000
0.500 0.500 0.500
```

***

[2]
## AgPb2SI (PBEsol)

Data for a relaxed AgPb2SI crystal.

The calculation puts the formation energy without anion corrections at 0.066 eV/atom. As for the space group: P4/mmm. The calculation puts the density of states at the Fermi level at 2.58 states/eV/cell. For the raw total energy, the calculation gives -17.1 eV per cell.

Geometry as POSCAR:
```
AgPb2SI
1.0
4.611 0.000 0.000
0.000 5.694 0.000
0.000 0.000 5.694
Pb I S Ag
2 1 1 1
Direct
0.000 0.000 0.500
0.000 0.500 0.000
0.500 0.500 0.500
0.000 0.000 0.000
0.500 0.000 0.000
```

***

[3]
## TaAgPb2I (PBEsol)

Data for a relaxed TaAgPb2I crystal.

The calculation puts the formation energy without anion corrections at 1.740 eV/atom. As for the space group: P4/mmm. The calculation puts the density of states at the Fermi level at 5.87 states/eV/cell. For the raw total energy, the calculation gives -16.9 eV per cell.

Geometry as POSCAR:
```
TaAgPb2I
1.0
-4.135 0.399 2.801
1.267 -5.082 2.595
3.047 2.850 4.093
Pb I Ag Ta
2 1 1 1
Direct
0.000 0.000 0.500
0.000 0.500 0.000
0.000 0.000 0.000
0.500 0.000 0.000
0.500 0.500 0.500
```

***

[4]
## AgTePbI2 (PBEsol)

Data for a relaxed AgTePbI2 crystal.

The calculation puts the formation energy without anion corrections at 0.074 eV/atom. As for the space group: P4/mmm. The calculation puts the density of states at the Fermi level at 2.28 states/eV/cell. For the raw total energy, the calculation gives -14.0 eV per cell.

Geometry as POSCAR:
```
AgTePbI2
1.0
5.451 0.000 0.000
0.000 5.451 0.000
0.000 0.000 5.536
Pb I Te Ag
1 2 1 1
Direct
0.500 0.500 0.500
0.000 0.500 0.000
0.500 0.000 0.000
0.000 0.000 0.500
0.000 0.000 0.000
```

***

[5]
## TiAg2PdI (PBEsol)

Data for a relaxed TiAg2PdI crystal.

The calculation puts the formation energy without anion corrections at 0.923 eV/atom. As for the space group: P4/mmm. The calculation puts the density of states at the Fermi level at 4.95 states/eV/cell. For the raw total energy, the calculation gives -18.1 eV per cell.

Geometry as POSCAR:
```
TiAg2PdI
1.0
4.634 0.000 0.000
0.000 5.077 0.000
0.000 0.000 5.077
I Pd Ag Ti
1 1 2 1
Direct
0.500 0.500 0.500
0.500 0.000 0.000
0.000 0.000 0.500
0.000 0.500 0.000
0.000 0.000 0.000
```

***

[6]
## AgTePtI2 (PBEsol)

Data for a relaxed AgTePtI2 crystal.

The calculation puts the formation energy without anion corrections at 1.099 eV/atom. As for the space group: P4/mmm. The calculation puts the density of states at the Fermi level at 9.76 states/eV/cell. For the raw total energy, the calculation gives -11.8 eV per cell.

Geometry as POSCAR:
```
AgTePtI2
1.0
5.335 0.000 0.000
0.000 5.335 0.000
0.000 0.000 5.371
I Te Ag Pt
2 1 1 1
Direct
0.000 0.500 0.000
0.500 0.000 0.000
0.000 0.000 0.500
0.000 0.000 0.000
0.500 0.500 0.500
```